Record 1
The following is a GGA-PBE calculation of CaCuHg after structural relaxation, from Alexandria.

a b c (Å): 6.6529 6.6529 6.6529
angles (deg): 90.00 90.00 90.00
Closest atoms and distances in Å follow each position.
Element x y z (fractional)
Ca: 0.0000 0.0000 0.0000  4 Cu 2.88
Ca: 0.0000 0.5000 0.5000  4 Cu 2.88
Ca: 0.5000 0.0000 0.5000  4 Cu 2.88
Ca: 0.5000 0.5000 0.0000  4 Cu 2.88
Cu: 0.2500 0.2500 0.2500  4 Hg 2.88, 4 Ca 2.88
Cu: 0.2500 0.7500 0.7500  4 Hg 2.88, 4 Ca 2.88
Cu: 0.7500 0.2500 0.7500  4 Hg 2.88, 4 Ca 2.88
Cu: 0.7500 0.7500 0.2500  4 Hg 2.88, 4 Ca 2.88
Hg: 0.0000 0.0000 0.5000  4 Cu 2.88
Hg: 0.0000 0.5000 0.0000  4 Cu 2.88
Hg: 0.5000 0.0000 0.0000  4 Cu 2.88
Hg: 0.5000 0.5000 0.5000  4 Cu 2.88

## Properties
Calculated formation energy = -166 meV per atom

=====

Record 2
The following is a GGA-PBE calculation of ErNbIO4 after structural relaxation, from Alexandria.

a b c (Å): 7.0926 7.0926 6.9081
angles (deg): 103.67 103.67 53.83
Closest atoms and distances in Å follow each position.
Element x y z (fractional)
Er: 0.2077 0.2077 0.3419  4 O 2.17-2.23
Er: 0.7923 0.7923 0.6581  4 O 2.17-2.23
Nb: 0.1216 0.1216 0.7428  4 O 1.85-1.92
Nb: 0.8784 0.8784 0.2572  4 O 1.85-1.92
I: 0.4666 0.4666 0.7994  1 I 2.67
I: 0.5334 0.5334 0.2006  1 I 2.67
O: 0.0303 0.0303 0.3120  1 Nb 1.86
O: 0.0412 0.5945 0.3778  1 Nb 1.92
O: 0.1794 0.1794 0.0182  1 Nb 1.85
O: 0.4055 0.9588 0.6222  1 Nb 1.92
O: 0.5945 0.0412 0.3778  1 Nb 1.92
O: 0.8206 0.8206 0.9818  1 Nb 1.85
O: 0.9588 0.4055 0.6222  1 Nb 1.92
O: 0.9697 0.9697 0.6880  1 Nb 1.86

## Properties
VASP energy = -106.98 eV/cell

=====

Record 3
The following is a GGA-PBE calculation of SnSbOsI2 after structural relaxation, from Alexandria.

a b c (Å): 5.5622 5.5622 5.0319
angles (deg): 90.00 90.00 90.00
Closest atoms and distances in Å follow each position.
Element x y z (fractional)
Sn: 0.0000 0.0000 0.0000  8 I 3.75, 4 Sb 3.93
Sb: 0.5000 0.5000 0.0000  2 Os 2.52
Os: 0.5000 0.5000 0.5000  2 Sb 2.52, 4 I 2.78
I: 0.0000 0.5000 0.5000  2 Os 2.78
I: 0.5000 0.0000 0.5000  2 Os 2.78

## Properties
Polymorph energy (0 for the lowest one) = 0 kJ/mol of formula units

=====

Record 4
The following is a GGA-PBE calculation of ThMn6Ga6 after structural relaxation, from Alexandria.

a b c (Å): 6.6983 6.6983 6.6983
angles (deg): 134.82 100.01 96.97
Closest atoms and distances in Å follow each position.
Element x y z (fractional)
Th: 0.0000 0.0000 0.0000  8 Ga 2.94-3.11, 4 Mn 3.27
Mn: 0.0000 0.0000 0.5000  6 Ga 2.55-2.68, 4 Mn 2.57
Mn: 0.0000 0.5000 0.0000  6 Ga 2.55-2.68, 4 Mn 2.57
Mn: 0.2335 0.5000 0.7335  4 Mn 2.57, 6 Ga 2.65-2.74
Mn: 0.5000 0.0000 0.0000  6 Ga 2.55-2.68, 4 Mn 2.57
Mn: 0.5000 0.5000 0.5000  6 Ga 2.55-2.68, 4 Mn 2.57
Mn: 0.7665 0.5000 0.2665  4 Mn 2.57, 6 Ga 2.65-2.74
Ga: 0.1973 0.6973 0.5000  6 Mn 2.55-2.67
Ga: 0.3412 0.0000 0.3412  6 Mn 2.68-2.74, 1 Ga 2.73, 1 Th 2.94
Ga: 0.3499 0.3499 0.0000  6 Mn 2.65-2.66, 3 Ga 2.67-2.91
Ga: 0.6501 0.6501 0.0000  6 Mn 2.65-2.66, 3 Ga 2.67-2.91
Ga: 0.6588 0.0000 0.6588  6 Mn 2.68-2.74, 1 Ga 2.73, 1 Th 2.94
Ga: 0.8027 0.3027 0.5000  6 Mn 2.55-2.67

## Properties
Calculated formation energy = -187 meV per atom

=====

Record 5
The following is a GGA-PBE calculation of CeNiAgAu after structural relaxation, from Alexandria.

a b c (Å): 6.8143 6.8143 6.8143
angles (deg): 90.00 90.00 90.00
Closest atoms and distances in Å follow each position.
Element x y z (fractional)
Ce: 0.0000 0.0000 0.0000  4 Ni 2.95, 4 Au 2.95
Ce: 0.0000 0.5000 0.5000  4 Ni 2.95, 4 Au 2.95
Ce: 0.5000 0.0000 0.5000  4 Ni 2.95, 4 Au 2.95
Ce: 0.5000 0.5000 0.0000  4 Ni 2.95, 4 Au 2.95
Ni: 0.2500 0.2500 0.7500  4 Ce 2.95, 4 Ag 2.95
Ni: 0.2500 0.7500 0.2500  4 Ce 2.95, 4 Ag 2.95
Ni: 0.7500 0.2500 0.2500  4 Ce 2.95, 4 Ag 2.95
Ni: 0.7500 0.7500 0.7500  4 Ce 2.95, 4 Ag 2.95
Ag: 0.0000 0.0000 0.5000  4 Ni 2.95, 4 Au 2.95
Ag: 0.0000 0.5000 0.0000  4 Au 2.95, 4 Ni 2.95
Ag: 0.5000 0.0000 0.0000  4 Au 2.95, 4 Ni 2.95
Ag: 0.5000 0.5000 0.5000  4 Au 2.95, 4 Ni 2.95
Au: 0.2500 0.2500 0.2500  4 Ce 2.95, 4 Ag 2.95
Au: 0.2500 0.7500 0.7500  4 Ce 2.95, 4 Ag 2.95
Au: 0.7500 0.2500 0.7500  4 Ce 2.95, 4 Ag 2.95
Au: 0.7500 0.7500 0.2500  4 Ce 2.95, 4 Ag 2.95

## Properties
Calculated formation energy = -240 meV per atom

=====

Record 6
The following is a GGA-PBE calculation of KYCo3 after structural relaxation, from Alexandria.

a b c (Å): 4.5813 4.5813 4.5813
angles (deg): 90.00 90.00 90.00
Closest atoms and distances in Å follow each position.
Element x y z (fractional)
K: 0.0000 0.0000 0.0000  6 Co 2.29
Y: 0.5000 0.5000 0.5000  12 Co 3.24
Co: 0.0000 0.0000 0.5000  2 K 2.29
Co: 0.0000 0.5000 0.0000  2 K 2.29
Co: 0.5000 0.0000 0.0000  2 K 2.29

## Properties
Calculated formation energy = 1785 meV per atom
Polymorph energy (0 for the lowest one) = 144 kJ/mol of formula units

=====

Record 7
The following is a GGA-PBE calculation of SrAlHg2 after structural relaxation, from Alexandria.

a b c (Å): 4.6619 4.6619 17.8609
angles (deg): 90.00 90.00 120.00
Closest atoms and distances in Å follow each position.
Element x y z (fractional)
Sr: 0.0000 0.0000 0.0000  6 Hg 3.36-3.38, 4 Al 3.46-3.67
Sr: 0.3333 0.6667 0.6667  6 Hg 3.36-3.38, 4 Al 3.46-3.67
Sr: 0.6667 0.3333 0.3333  6 Hg 3.36-3.38, 4 Al 3.46-3.67
Al: 0.0000 0.0000 0.8064  6 Hg 2.73-3.04
Al: 0.3333 0.6667 0.4730  6 Hg 2.73-3.04
Al: 0.6667 0.3333 0.1397  6 Hg 2.73-3.04
Hg: 0.0000 0.0000 0.2185  3 Al 3.04, 3 Hg 3.29, 3 Sr 3.38
Hg: 0.0000 0.0000 0.4464  3 Al 2.73
Hg: 0.3333 0.6667 0.1130  3 Al 2.73
Hg: 0.3333 0.6667 0.8852  3 Al 3.04, 3 Hg 3.29, 3 Sr 3.38
Hg: 0.6667 0.3333 0.5519  3 Al 3.04, 3 Hg 3.29, 3 Sr 3.38
Hg: 0.6667 0.3333 0.7797  3 Al 2.73

## Properties
Calculated formation energy = -277 meV per atom